No. 1
Computed, not measured: a relaxed TmTa2FeC4 crystal at the PBE-GGA level of DFT.

```
TmTa2FeC4
1.0
1.595 -5.451 0.000
1.595 5.451 0.000
0.000 0.000 10.843
Tm Ta Fe C
2 4 2 8
Direct
0.107 0.893 0.750
0.893 0.107 0.250
0.369 0.631 0.543
0.369 0.631 0.957
0.631 0.369 0.043
0.631 0.369 0.457
0.159 0.841 0.250
0.841 0.159 0.750
0.000 0.000 0.000
0.000 0.000 0.500
0.265 0.735 0.119
0.265 0.735 0.381
0.429 0.571 0.750
0.571 0.429 0.250
0.735 0.265 0.619
0.735 0.265 0.881
```

SG = No. 63
Formation energy from the elements = -329 meV/atom
Fermi-level density of states = 6.49 states/eV per cell
E_tot = -152.33 eV/cell

=====

No. 2
Computed, not measured: a relaxed Ba5IrPt crystal at the PBE-GGA level of DFT.

```
Ba5IrPt
1.0
5.984 -5.103 0.000
5.984 5.103 0.000
-4.265 0.000 10.999
Ba Ir Pt
10 2 2
Direct
0.084 0.703 0.350
0.249 0.751 0.750
0.277 0.347 0.993
0.297 0.916 0.150
0.347 0.277 0.493
0.653 0.723 0.507
0.703 0.084 0.850
0.723 0.653 0.007
0.751 0.249 0.250
0.916 0.297 0.650
0.000 0.500 0.500
0.500 0.000 0.000
0.435 0.565 0.250
0.565 0.435 0.750
```

SG = No. 15
Formation energy from the elements = -249 meV/atom
Fermi-level density of states = 10.33 states/eV per cell
E_tot = -52.52 eV/cell

=====

No. 3
Computed, not measured: a relaxed GaRh2CI crystal at the PBE-GGA level of DFT.

```
GaRh2CI
1.0
4.947 0.000 0.000
0.000 4.947 0.000
0.000 0.000 4.184
Ga Rh C I
1 2 1 1
Direct
0.000 0.000 0.000
0.000 0.500 0.500
0.500 0.000 0.500
0.500 0.500 0.000
0.500 0.500 0.500
```

SG = No. 123
Fermi-level density of states = 2.46 states/eV per cell
E_tot = -19.58 eV/cell
Formation energy (no corrections) = 1.784 eV/atom

=====

No. 4
Computed, not measured: a relaxed SbNF crystal at the PBE-GGA level of DFT.

```
SbNF
1.0
4.179 0.000 0.000
0.000 3.559 0.000
-0.176 0.000 6.234
Sb N F
2 2 2
Direct
0.244 0.250 0.334
0.756 0.750 0.666
0.252 0.750 0.554
0.748 0.250 0.446
0.248 0.750 0.112
0.752 0.250 0.888
```

SG = No. 11
Fermi-level density of states = 3.03 states/eV per cell
E_tot = -31.44 eV/cell
Formation energy (no corrections) = -0.467 eV/atom

=====

No. 5
Computed, not measured: a relaxed HfNbB crystal at the PBE-GGA level of DFT.

```
HfNbB
1.0
3.320 0.000 0.000
0.000 5.367 0.000
0.000 0.000 5.512
Hf Nb B
2 2 2
Direct
0.000 0.008 0.000
0.500 0.992 0.500
0.000 0.501 0.692
0.500 0.499 0.192
0.000 0.261 0.349
0.500 0.739 0.849
```

SG = No. 31
Formation energy from the elements = -275 meV/atom
Fermi-level density of states = 4.66 states/eV per cell
E_tot = -55.05 eV/cell

=====

No. 6
Computed, not measured: a relaxed TaBeTe crystal at the PBE-GGA level of DFT.

```
TaBeTe
1.0
4.663 0.000 0.000
-2.331 4.038 0.000
0.000 0.000 2.857
Ta Be Te
1 1 1
Direct
0.000 0.000 0.000
0.333 0.667 0.365
0.667 0.333 0.292
```

SG = No. 156
Fermi-level density of states = 2.42 states/eV per cell
E_tot = -16.55 eV/cell
Formation energy (no corrections) = 0.725 eV/atom

=====

No. 7
Computed, not measured: a relaxed Pr4Te2AsS crystal at the PBE-GGA level of DFT.

```
Pr4Te2AsS
1.0
7.454 0.000 0.000
0.000 4.317 0.000
-2.499 0.000 7.363
Pr Te As S
4 2 1 1
Direct
0.234 0.000 0.213
0.258 0.500 0.784
0.742 0.500 0.216
0.766 0.000 0.787
0.000 0.000 0.500
0.500 0.500 0.500
0.500 0.000 0.000
0.000 0.500 0.000
```

SG = No. 10
Fermi-level density of states = 2.85 states/eV per cell
E_tot = -47.32 eV/cell
Formation energy (no corrections) = -1.643 eV/atom

=====

No. 8
Computed, not measured: a relaxed Ba2AgW crystal at the PBE-GGA level of DFT.

```
Ba2AgW
1.0
8.913 0.000 0.000
0.000 8.913 0.000
0.000 0.000 6.725
Ba Ag W
8 4 4
Direct
0.248 0.250 0.125
0.250 0.748 0.375
0.250 0.752 0.875
0.252 0.250 0.625
0.748 0.750 0.625
0.750 0.248 0.875
0.750 0.252 0.375
0.752 0.750 0.125
0.000 0.000 0.500
0.000 0.500 0.750
0.500 0.000 0.250
0.500 0.500 0.000
0.000 0.000 0.000
0.000 0.500 0.250
0.500 0.000 0.750
0.500 0.500 0.500
```

SG = No. 122
Formation energy from the elements = 1204 meV/atom
Fermi-level density of states = 16.32 states/eV per cell
E_tot = -59.33 eV/cell

=====

No. 9
Computed, not measured: a relaxed PuCuAgBr6 crystal at the PBE-GGA level of DFT.

```
PuCuAgBr6
1.0
6.675 0.000 0.000
0.000 6.675 0.000
0.000 0.000 12.065
Pu Cu Ag Br
2 2 2 12
Direct
0.000 0.000 0.000
0.500 0.500 0.500
0.000 0.000 0.331
0.500 0.500 0.831
0.000 0.000 0.674
0.500 0.500 0.174
0.192 0.192 0.178
0.197 0.197 0.492
0.213 0.213 0.838
0.287 0.713 0.338
0.303 0.697 0.992
0.308 0.692 0.678
0.692 0.308 0.678
0.697 0.303 0.992
0.713 0.287 0.338
0.787 0.787 0.838
0.803 0.803 0.492
0.808 0.808 0.178
```

SG = No. 102
Fermi-level density of states = 23.63 states/eV per cell
E_tot = -77.30 eV/cell
Formation energy (no corrections) = -0.815 eV/atom

=====

No. 10
Computed, not measured: a relaxed GdZrNiAg crystal at the PBE-GGA level of DFT.

```
GdZrNiAg
1.0
6.894 0.000 0.000
0.000 6.894 0.000
0.000 0.000 6.894
Gd Zr Ni Ag
4 4 4 4
Direct
0.000 0.000 0.000
0.000 0.500 0.500
0.500 0.000 0.500
0.500 0.500 0.000
0.000 0.000 0.500
0.000 0.500 0.000
0.500 0.000 0.000
0.500 0.500 0.500
0.250 0.250 0.250
0.250 0.750 0.750
0.750 0.250 0.750
0.750 0.750 0.250
0.250 0.250 0.750
0.250 0.750 0.250
0.750 0.250 0.250
0.750 0.750 0.750
```

SG = No. 216
Formation energy from the elements = -104 meV/atom
Fermi-level density of states = 19.32 states/eV per cell
E_tot = -126.71 eV/cell

=====

No. 11
Computed, not measured: a relaxed Dy3Pa2Co4 crystal at the PBE-GGA level of DFT.

```
Dy3Pa2Co4
1.0
5.621 -1.843 0.000
5.621 1.843 0.000
-1.730 0.000 8.863
Dy Pa Co
3 2 4
Direct
0.000 0.000 0.000
0.377 0.377 0.617
0.623 0.623 0.383
0.320 0.320 0.222
0.680 0.680 0.778
0.079 0.079 0.617
0.297 0.297 0.927
0.703 0.703 0.073
0.921 0.921 0.383
```

SG = No. 12
Formation energy from the elements = -315 meV/atom
Fermi-level density of states = 8.73 states/eV per cell
E_tot = -64.05 eV/cell